Record 1
Material: CsLiTh
Method: DFT, GGA-PBE
State: relaxed

Computed properties:
Its space-group type is F-43m (216). The energy above the most stable polymorph in this dataset comes out at 158.2 meV/atom. The calculation puts the total energy at -1.935 eV/atom.

POSCAR file:
```
CsLiTh
1.0
0.000 3.683 3.683
3.683 0.000 3.683
3.683 3.683 0.000
Cs Li Th
1 1 1
direct
0.000 0.000 0.000
0.250 0.250 0.250
0.750 0.750 0.750
```

Record 2
Material: CsLiTh
Method: DFT, GGA-PBE
State: relaxed

Computed properties:
Its space-group type is F-43m (216). The energy above the most stable polymorph in this dataset comes out at 0.0 meV/atom. The calculation puts the total energy at -2.093 eV/atom.

POSCAR file:
```
CsLiTh
1.0
0.000 3.940 3.940
3.940 0.000 3.940
3.940 3.940 0.000
Cs Li Th
1 1 1
direct
0.000 0.000 0.000
0.250 0.250 0.250
0.500 0.500 0.500
```

Record 3
Material: CsLiTm
Method: DFT, GGA-PBE
State: relaxed

Computed properties:
Its space-group type is F-43m (216). The calculation puts the total energy at -1.241 eV/atom.

POSCAR file:
```
CsLiTm
1.0
0.000 4.130 4.130
4.130 0.000 4.130
4.130 4.130 0.000
Cs Li Tm
1 1 1
direct
0.000 0.000 0.000
0.250 0.250 0.250
0.750 0.750 0.750
```

Record 4
Material: CsLi2Zn6
Method: DFT, GGA-PBE
State: relaxed

Computed properties:
Its space-group type is P-62m (189). The calculation puts the total energy at -1.131 eV/atom.

POSCAR file:
```
CsLi2Zn6
1.0
8.206 0.000 0.000
-4.103 7.107 0.000
0.000 0.000 3.131
Cs Li Zn
1 2 6
direct
0.000 0.000 0.000
0.333 0.667 0.500
0.667 0.333 0.500
0.000 0.356 0.500
0.000 0.609 0.000
0.356 0.000 0.500
0.391 0.391 0.000
0.609 0.000 0.000
0.644 0.644 0.500
```

Record 5
Material: CsLiZn
Method: DFT, GGA-PBE
State: relaxed

Computed properties:
Its space-group type is F-43m (216). The calculation puts the total energy at -0.965 eV/atom.

POSCAR file:
```
CsLiZn
1.0
0.000 3.991 3.991
3.991 0.000 3.991
3.991 3.991 0.000
Cs Li Zn
1 1 1
direct
0.000 0.000 0.000
0.250 0.250 0.250
0.500 0.500 0.500
```

Record 6
Material: CsLu2
Method: DFT, GGA-PBE
State: relaxed

Computed properties:
Its space-group type is Fd-3m (227). The calculation puts the total energy at -2.559 eV/atom.

POSCAR file:
```
CsLu2
1.0
0.000 5.101 5.101
5.101 0.000 5.101
5.101 5.101 0.000
Cs Lu
2 4
direct
0.125 0.125 0.125
0.875 0.875 0.875
0.000 0.500 0.500
0.500 0.000 0.500
0.500 0.500 0.000
0.500 0.500 0.500
```

Among the records above, which one has the lowest total energy? CsLu2

What is the total energy in the sixth record? -2.559 eV/atom